No. 1
## InTeCl2 (SCAN)

Data for InTeCl2 at its PBEsol-relaxed geometry.

Cell: 3.2802 3.2802 9.6803 Å, 90.00 90.00 90.00°
Sites, in units of the cell vectors:
Te 0.5000 0.5000 0.5000
Cl 0.0000 0.0000 0.1683
Cl 0.0000 0.0000 0.8317
In 0.5000 0.5000 0.0000

Summary:
Its raw formation energy is -0.366 eV per atom. As for the density of states at the Fermi level: 3.2 states/eV/cell. The value obtained for the relative energy among the computed polymorphs is 0.155 eV per atom. Its crystal system is tetragonal. The value obtained for the total energy is -22.0139 eV/atom. As for the spin magnetization: 0.00 μB per cell. Its space group is P4/mmm.


No. 2
## InTeCl2 (SCAN)

Data for InTeCl2 at its PBEsol-relaxed geometry.

Cell: 3.4306 4.6234 7.1843 Å, 108.77 103.81 90.00°
Sites, in units of the cell vectors:
In 0.5299 0.5299 0.0598
Te 0.2332 0.7332 0.4664
Cl 0.7471 0.2471 0.4943
Cl 0.9898 0.9898 0.9795

Summary:
Its raw formation energy is -0.324 eV per atom. As for the density of states at the Fermi level: 2.8 states/eV/cell. The value obtained for the relative energy among the computed polymorphs is 0.196 eV per atom. Its crystal system is orthorhombic. The value obtained for the total energy is -21.9727 eV/atom. As for the spin magnetization: 0.00 μB per cell. Its space group is Imm2.


No. 3
## Ti3InCl (SCAN)

Data for Ti3InCl at its PBEsol-relaxed geometry.

Cell: 5.1372 5.1372 5.1372 Å, 90.00 90.00 90.00°
Sites, in units of the cell vectors:
In 0.0000 0.0000 0.0000
Ti 0.0000 0.5000 0.0000
Ti 0.5000 0.0000 0.0000
Ti 0.0000 0.0000 0.5000
Cl 0.5000 0.5000 0.5000

Summary:
Its raw formation energy is 0.871 eV per atom. As for the density of states at the Fermi level: 4.2 states/eV/cell. Its crystal system is cubic. The value obtained for the total energy is -17.0203 eV/atom. As for the spin magnetization: 6.02 μB per cell. Its space group is Pm-3m.


No. 4
## TiInCl2 (SCAN)

Data for TiInCl2 at its PBEsol-relaxed geometry.

Cell: 3.1997 3.1997 9.7194 Å, 80.53 80.53 60.00°
Sites, in units of the cell vectors:
Ti 0.5000 0.5000 0.5000
Cl 0.8897 0.8897 0.3309
Cl 0.1103 0.1103 0.6691
In 0.0000 0.0000 0.0000

Summary:
Its raw formation energy is -1.069 eV per atom. As for the density of states at the Fermi level: 2.7 states/eV/cell. Its crystal system is trigonal. The value obtained for the total energy is -17.4120 eV/atom. As for the spin magnetization: 0.01 μB per cell. Its space group is R-3m.